DFT (PBE+U) results for a geometry-optimized Li2VP2O7 structure.

As for the energy above the most stable polymorph in this dataset: 0.0284 eV/atom.

It has space group P-1 (No. 2), with a = 5.358 Å, b = 6.733 Å, c = 8.814 Å, α = 103.90°, β = 104.16° and γ = 106.71°. Symmetry generates all atoms from Li at (0.078, 0.469, 0.252), Li at (0.264, 0.171, 0.986), V at (0.226, 0.234, 0.638), P at (0.237, 0.823, 0.121), P at (0.342, 0.757, 0.612), O at (0.025, 0.736, 0.200), O at (0.088, 0.815, 0.946), O at (0.144, 0.883, 0.588), O at (0.222, 0.557, 0.661), O at (0.395, 0.088, 0.217), O at (0.448, 0.705, 0.468) and O at (0.458, 0.719, 0.129).